Entry 1:
Density functional theory data (PBE) for crystalline Dy2ErPaP4 at its relaxed geometry.

POSCAR file:
```
Dy2ErPaP4
1.0
-1.2091 0.1245 3.7988
3.5277 -5.7633 1.3117
4.0439 5.4733 1.1078
Dy Er Pa P
2 1 1 4
direct
0.5000 0.0000 0.5000
0.0000 0.5000 0.5000
0.0000 0.0000 0.0000
0.5000 0.5000 0.0000
0.5000 0.2514 0.2452
0.5000 0.7486 0.7548
0.0000 0.2524 0.7540
0.0000 0.7476 0.2460
```

Density of states at the Fermi level (states/eV/cell): 4.596
ρ (kg/m³): 7883
Formation enthalpy at 0 K (eV/atom): -1.55
Magnetic moment (μB per formula unit): 0.0


Entry 2:
Density functional theory data (PBE) for crystalline PrTmTl2Se4 at its relaxed geometry.

POSCAR file:
```
PrTmTl2Se4
1.0
4.2467 0.0000 0.0000
0.0000 7.3634 0.1290
0.0000 -2.5831 7.7228
Pr Tm Tl Se
1 1 2 4
direct
0.5000 0.5000 0.0000
0.0000 0.0000 0.0000
0.5000 0.0000 0.5000
0.0000 0.5000 0.5000
0.5000 0.2231 0.2039
0.5000 0.7769 0.7961
0.0000 0.2515 0.7906
0.0000 0.7485 0.2094
```

ρ (kg/m³): 7072
Raw formation energy (eV per atom): -1.366
Magnetic moment (μB per formula unit): 0.0


Entry 3:
Density functional theory data (PBE) for crystalline KMgMo2 at its relaxed geometry.

POSCAR file:
```
KMgMo2
1.0
4.6767 -0.0103 -0.0060
3.8944 2.5894 -0.0060
0.1068 0.0321 7.9042
K Mg Mo
1 1 2
direct
0.5027 0.5027 0.5177
0.2574 0.2574 0.1662
0.9929 0.9929 0.9787
0.7470 0.7470 0.8373
```

Density of states at the Fermi level (states/eV/cell): 4.079
ρ (kg/m³): 4414
Formation enthalpy at 0 K (eV/atom): 0.83
Magnetic moment (μB per formula unit): 0.0